Here is crystalline K4Ta3VO12 at its relaxed geometry from Alexandria via LeMat-Bulk. Energies are from PBE with a Hubbard U.

Properties
The total magnetization is 0.00 μB per cell. As for the space group: Im-3m (229). The calculation puts the total energy at -155.505 eV per cell.

POSCAR file:
```
K4Ta3VO12
1.0
-3.865 2.341 -5.227
-3.992 -3.481 4.437
2.950 5.334 3.252
O Ta K V
12 3 4 1
Cartesian
-0.718 4.301 0.935 O
-2.422 3.553 -1.185 O
-4.157 1.349 -0.888 O
-0.750 2.846 3.351 O
-5.936 -0.861 -0.597 O
-4.189 -0.107 1.528 O
-0.255 0.453 1.880 O
-0.691 5.799 -1.492 O
-2.485 0.642 3.647 O
-0.224 1.876 -0.483 O
-1.921 -0.279 -0.193 O
-0.787 1.400 5.810 O
-3.928 -0.570 -0.395 Ta
-0.521 0.927 3.845 Ta
-0.458 3.838 -0.987 Ta
-1.932 1.170 -2.613 K
-2.453 2.097 1.231 K
-1.996 -1.740 2.219 K
1.475 2.667 1.626 K
0.000 0.000 0.000 V
```